No. 1
{"formula": "CeTmHg", "functional": "GGA-PBE", "state": "relaxed", "lattice": [[-2.0636, 2.9008, 4.4898], [-2.1021, -5.9310, 2.8657], [7.5807, 0.3390, 3.2653]], "species": ["Ce", "Ce", "Ce", "Ce", "Hg", "Hg", "Hg", "Hg", "Tm", "Tm", "Tm", "Tm"], "fractional_positions": [[0.5890, 0.3242, 0.0303], [0.4110, 0.6758, 0.9697], [0.0890, 0.1758, 0.9697], [0.9110, 0.8242, 0.0303], [0.1922, 0.8154, 0.6527], [0.8078, 0.1846, 0.3473], [0.3078, 0.3154, 0.6527], [0.6922, 0.6846, 0.3473], [0.6960, 0.9890, 0.6662], [0.1960, 0.5110, 0.3338], [0.8040, 0.4890, 0.6662], [0.3040, 0.0110, 0.3338]], "ef_ev_per_atom": -0.183, "polymorph_energy_mev_per_atom": 26, "total_energy_ev_per_cell": -45.03}

***

No. 2
{"formula": "Mn2WCl", "functional": "GGA-PBE", "state": "relaxed", "lattice": [[-0.4780, 3.8848, -2.6756], [-3.5026, -2.0936, -2.4140], [-1.9067, 1.0460, 1.8594]], "species": ["W", "Cl", "Mn", "Mn"], "fractional_positions": [[0.5000, 0.0000, 0.5000], [0.0000, 0.5000, 0.5000], [0.5000, 0.5000, 0.0000], [0.0000, 0.0000, 0.0000]], "polymorph_energy_mev_per_atom": 568, "total_energy_ev_per_cell": -30.17}

***

No. 3
{"formula": "Y2Tl5In", "functional": "GGA-PBE", "state": "relaxed", "lattice": [[4.7249, 0.0000, 0.0000], [0.0000, 6.7332, 0.0000], [0.0000, 0.0000, 13.4711]], "species": ["Tl", "Tl", "Tl", "Tl", "Tl", "Tl", "Tl", "Tl", "Tl", "Tl", "Y", "Y", "Y", "Y", "In", "In"], "fractional_positions": [[0.0000, 0.5038, 0.2486], [0.0000, 0.0038, 0.2514], [0.0000, 0.0000, 0.0000], [0.5000, 0.7442, 0.8765], [0.0000, 0.9962, 0.7486], [0.0000, 0.5000, 0.5000], [0.5000, 0.2558, 0.1235], [0.5000, 0.7558, 0.3765], [0.0000, 0.4962, 0.7514], [0.5000, 0.2442, 0.6235], [0.5000, 0.7530, 0.1246], [0.5000, 0.2470, 0.8754], [0.5000, 0.2530, 0.3754], [0.5000, 0.7470, 0.6246], [0.0000, 0.5000, 0.0000], [0.0000, 0.0000, 0.5000]], "ef_ev_per_atom": -0.265, "total_energy_ev_per_cell": -59.23}

***

No. 4
{"formula": "Mn2AgAs", "functional": "GGA-PBE", "state": "relaxed", "lattice": [[-4.4201, 4.3496, 6.1104], [-3.7893, 1.9350, 7.5955], [-1.8573, 4.0985, 7.4530]], "species": ["As", "Mn", "Mn", "Ag"], "fractional_positions": [[0.7344, 0.7344, 0.7344], [0.2601, 0.2601, 0.2601], [0.0007, 0.0007, 0.0007], [0.5049, 0.5049, 0.5049]], "ef_ev_per_atom": 0.244, "total_energy_ev_per_cell": -24.86}

***

No. 5
{"formula": "Dy8HgSb2", "functional": "GGA-PBE", "state": "relaxed", "lattice": [[-2.8313, 2.0374, 3.5009], [4.1242, -2.7431, 4.9318], [5.6383, 7.3956, -3.2324]], "species": ["Dy", "Dy", "Dy", "Dy", "Dy", "Dy", "Dy", "Dy", "Sb", "Sb", "Hg"], "fractional_positions": [[0.2148, 0.3421, 0.4295], [0.4063, 0.5139, 0.8126], [0.0158, 0.7618, 0.0316], [0.9842, 0.2382, 0.9684], [0.7852, 0.6579, 0.5705], [0.3405, 0.9817, 0.6811], [0.6595, 0.0183, 0.3189], [0.5937, 0.4861, 0.1874], [0.1804, 0.7668, 0.3609], [0.8196, 0.2332, 0.6391], [0.5000, 0.0000, 0.0000]], "total_energy_ev_per_cell": -49.84}

***

No. 6
{"formula": "Fe2TcP", "functional": "GGA-PBE", "state": "relaxed", "lattice": [[-1.4861, 3.5379, 2.8818], [0.8361, -0.4193, 4.7069], [1.9645, 0.1933, -4.3742]], "species": ["Tc", "Fe", "Fe", "P"], "fractional_positions": [[0.2773, 0.7773, 0.5000], [0.7134, 0.2134, 0.5000], [0.9990, 0.9990, 0.0000], [0.5104, 0.5104, 0.0000]], "ef_ev_per_atom": -0.129, "total_energy_ev_per_cell": -33.22}